Record 1
Here is AgBr2F after structural relaxation from Alexandria. Energies are from PBE-GGA.

abc: 6.7430 6.7430 6.7430
angles: 90.00 90.00 90.00
Space group Fm-3m (No. 225)
One atom of each set of equivalent atoms:
Ag 0.0000 0.0000 0.0000
Br 0.2500 0.2500 0.2500
F 0.0000 0.0000 0.5000

Output
**Excess energy over the best structure of this formula in the dataset**: 431.3 meV/atom

=====

Record 2
Here is Ag7BrF12 after structural relaxation from Alexandria. Energies are from PBE-GGA.

abc: 11.6677 11.6677 7.9139
angles: 90.00 90.00 120.00
Space group R-3 (No. 148, hexagonal axes)
One atom of each set of equivalent atoms:
Ag 0.0000 0.0000 0.0000
Ag 0.0698 0.4960 0.3017
Br 0.0000 0.0000 0.5000
F 0.0325 0.2981 0.3983
F 0.0870 0.8964 0.8721

=====

Record 3
Here is AgBrF after structural relaxation from Alexandria. Energies are from PBE-GGA.

abc: 3.7452 3.7452 5.4538
angles: 90.00 90.00 120.00
Space group P3m1 (No. 156)
One atom of each set of equivalent atoms:
Ag 0.0000 0.0000 0.0000
Br 0.6667 0.3333 0.3024
F 0.3333 0.6667 0.8358

Output
**Excess energy over the best structure of this formula in the dataset**: 93.0 meV/atom

=====

Record 4
Here is Ag3Br2F2 after structural relaxation from Alexandria. Energies are from PBE-GGA.

abc: 12.9812 3.7395 6.6409
angles: 90.00 111.33 90.00
Space group C2/m (No. 12)
One atom of each set of equivalent atoms:
Ag 0.0000 0.0000 0.0000
Ag 0.2181 0.0000 0.7075
Br 0.0943 0.5000 0.8181
F 0.1766 0.0000 0.3156

Output
**Excess energy over the best structure of this formula in the dataset**: 0.0 meV/atom

=====

Energy relative to the elements, uncorrected? In order: -0.017 -1.006 -0.588 -0.698 eV/atom.
N(E_F)? In order: 1.6868 0.7187 0.8915 0.7357 states/eV/atom.
Calculated total energy? In order: -2.034 -3.210 -2.720 -2.933 eV/atom.